# 1
Compound: MnRe2O10
Source: the Alexandria database
Functional: PBE+U
Structure: optimized geometry

Output
Uncorrected energy = -97.587 eV for the cell shown
Symmetry = C2/m
Density = 4.67 g cm⁻³

abc: 8.4134 8.4134 4.6838
angles: 99.29 99.29 39.71
Site moments in Bohr magnetons follow the coordinates.
Positions (direct):
O 0.2524 0.2524 0.8202  0.01
O 0.6366 0.6366 0.6486  0.01
O 0.6699 0.1545 0.8889  0.00
O 0.3301 0.8455 0.1111  0.00
O 0.0322 0.0322 0.6102  0.37
O 0.8455 0.3301 0.1111  0.00
O 0.1545 0.6699 0.8889  0.00
O 0.7476 0.7476 0.1798  0.01
O 0.3634 0.3634 0.3514  0.01
O 0.9678 0.9678 0.3898  0.37
Re 0.3591 0.3591 0.9812  -0.01
Re 0.6409 0.6409 0.0188  -0.01
Mn 0.0000 0.0000 0.0000  0.03

=====

# 2
Compound: Mn3ReO6
Source: the Alexandria database
Functional: PBE+U
Structure: optimized geometry

Output
Uncorrected energy = -160.956 eV for the cell shown
Symmetry = P2_1/c
Density = 6.47 g cm⁻³

abc: 5.3577 5.4644 7.8345
angles: 90.00 90.01 90.00
Site moments in Bohr magnetons follow the coordinates.
Positions (direct):
Mn 0.5002 0.5456 0.2579  4.61
Mn 0.0003 0.9544 0.7579  4.61
Mn 0.4998 0.4544 0.7421  4.61
Mn 0.9997 0.0456 0.2421  4.61
Mn 0.0000 0.5000 0.0000  4.56
Mn 0.5000 0.0000 0.5000  4.56
O 0.8092 0.1686 0.9467  0.03
O 0.6182 0.9272 0.2341  0.03
O 0.6557 0.7008 0.9259  0.05
O 0.3818 0.0728 0.7659  0.03
O 0.8818 0.4272 0.2659  0.03
O 0.3444 0.2992 0.0741  0.05
O 0.1908 0.8314 0.0533  0.03
O 0.1182 0.5728 0.7341  0.03
O 0.8445 0.2007 0.5740  0.05
O 0.3092 0.3315 0.4467  0.03
O 0.1556 0.7993 0.4259  0.05
O 0.6908 0.6685 0.5533  0.03
Re 0.5000 0.0000 0.0000  -0.52
Re 0.0000 0.5000 0.5000  -0.52

=====

# 3
Compound: MnRe2O
Source: the Alexandria database
Functional: PBE+U
Structure: optimized geometry

Output
Uncorrected energy = -64.104 eV for the cell shown
Symmetry = I-42d
Density = 12.25 g cm⁻³

abc: 5.1009 5.1009 5.8606
angles: 64.20 64.20 90.00
Positions (direct):
Re 0.3750 0.4157 0.7500
Re 0.8750 0.8343 0.7500
Re 0.5843 0.1250 0.2500
Re 0.1657 0.6250 0.2500
O 0.2500 0.7500 0.5000
O 0.5000 0.5000 0.0000
Mn 0.0000 0.0000 0.0000
Mn 0.7500 0.2500 0.5000